Record 1
DFT (PBE) results for an optimized crystal structure of DyYMgCr.

Cell: 5.2004 5.2004 5.2004 Å, 60.00 60.00 60.00°
With the nearest neighbours (Å) after each atom.
Fractional coordinates of all 4 atoms:
Dy (0.0000, 0.0000, 0.0000)  4 Cr 3.18, 4 Mg 3.18
Y (0.5000, 0.5000, 0.5000)  4 Mg 3.18, 4 Cr 3.18
Mg (0.7500, 0.7500, 0.7500)  4 Y 3.18, 4 Dy 3.18
Cr (0.2500, 0.2500, 0.2500)  4 Y 3.18, 4 Dy 3.18

## Properties
- E: -5.4384 eV per atom
- SG: F-43m
- Energy relative to the elements: 132.6 meV per atom

Record 2
DFT (PBE) results for an optimized crystal structure of DyMn2Cr.

Cell: 8.8257 8.8257 8.8257 Å, 19.58 19.58 19.58°
With the nearest neighbours (Å) after each atom.
Fractional coordinates of all 4 atoms:
Dy (0.0000, 0.0000, 0.0000)  6 Dy 3.00, 6 Mn 3.09
Mn (0.2348, 0.2348, 0.2348)  3 Cr 2.48
Mn (0.7652, 0.7652, 0.7652)  3 Cr 2.48
Cr (0.5000, 0.5000, 0.5000)  6 Mn 2.48

## Properties
- E: -7.5752 eV per atom
- SG: R-3m
- Energy relative to the elements: 565.9 meV per atom

Looking at density of states at the Fermi level for the records above, in order, we have 0.56 1.44 states/eV/atom.
Looking at spin magnetization for the records above, in order, we have 0.890 0.970 μB per atom.